Record 1
# Pr2Mg5Zn4

An optimized crystal structure of Pr2Mg5Zn4 (PBE-GGA, Alexandria via LeMat-Bulk).

Cell: 9.2826 8.0311 6.4036 Å, 79.16 58.18 42.65°
With the nearest neighbours (Å) after each atom.
Fractional coordinates of all 11 atoms:
Pr (0.1434, 0.1434, 0.8566)  6 Zn 3.31-3.37, 4 Mg 3.57
Pr (0.8566, 0.8566, 0.1434)  6 Zn 3.31-3.37, 4 Mg 3.57
Mg (0.0000, 0.0000, 0.5000)  4 Mg 3.11-3.20, 4 Zn 3.11
Mg (0.2500, 0.2500, 0.2500)  4 Zn 2.62
Mg (0.5000, 0.5000, 0.0000)  4 Mg 3.11-3.20, 4 Zn 3.11
Mg (0.5000, 0.5000, 0.5000)  4 Zn 2.57
Mg (0.7500, 0.7500, 0.7500)  4 Zn 2.62
Zn (0.2347, 0.4644, 0.5356)  1 Zn 2.57, 3 Mg 2.57-2.62
Zn (0.4644, 0.2347, 0.7653)  1 Zn 2.57, 3 Mg 2.57-2.62
Zn (0.5356, 0.7653, 0.2347)  1 Zn 2.57, 3 Mg 2.57-2.62
Zn (0.7653, 0.5356, 0.4644)  1 Zn 2.57, 3 Mg 2.57-2.62

Computed properties:
- V: 23.44 Å³ per atom
- Formation energy: -11.4 kJ/mol of atoms
- Total energy: -23.93 eV for the cell shown

=====

Record 2
# Pr3Mg4Zn4

An optimized crystal structure of Pr3Mg4Zn4 (PBE-GGA, Alexandria via LeMat-Bulk).

Cell: 8.8004 8.8004 8.8004 Å, 150.83 127.20 61.46°
With the nearest neighbours (Å) after each atom.
Fractional coordinates of all 11 atoms:
Pr (0.0000, 0.0000, 0.0000)  6 Zn 3.29-3.44
Pr (0.3840, 0.8840, 0.5000)  6 Zn 3.19-3.25, 6 Mg 3.39-3.51, 1 Pr 3.51
Pr (0.6160, 0.1160, 0.5000)  6 Zn 3.19-3.25, 6 Mg 3.39-3.51, 1 Pr 3.51
Mg (0.0174, 0.3261, 0.6914)  4 Zn 2.79-2.84, 1 Mg 3.00
Mg (0.3653, 0.6739, 0.6914)  4 Zn 2.79-2.84, 1 Mg 3.00
Mg (0.6347, 0.3261, 0.3086)  4 Zn 2.79-2.84, 1 Mg 3.00
Mg (0.9826, 0.6739, 0.3086)  4 Zn 2.79-2.84, 1 Mg 3.00
Zn (0.2272, 0.2272, 0.0000)  6 Mg 2.79-2.84
Zn (0.3101, 0.5000, 0.8101)  2 Mg 2.79, 1 Zn 2.97
Zn (0.6899, 0.5000, 0.1899)  2 Mg 2.79, 1 Zn 2.97
Zn (0.7728, 0.7728, 0.0000)  6 Mg 2.79-2.84

Computed properties:
- Relative energy among the computed polymorphs: 0.0 meV per atom
- V: 23.85 Å³ per atom
- Formation energy: -19.9 kJ/mol of atoms
- Total energy: -28.08 eV for the cell shown

=====

What is the formula in the second record?
Pr3Mg4Zn4

=====

Which formula does entry 2 have?
Pr3Mg4Zn4

=====

Which value of formation energy does entry 2 give?
-19.9 kJ/mol of atoms